# 1
VASP calculation (PBE-GGA) on HfRuRh3 after structural relaxation.

```
data_HfRuRh3
_chemical_formula_sum 'Hf1 Ru1 Rh3'
_space_group_name_H-M_alt 'P m -3 m'
_space_group_IT_number 221
_space_group_name_Hall '-P 4 2 3'
_cell_length_a 4.700
_cell_length_b 4.700
_cell_length_c 4.700
_cell_angle_alpha 90.00
_cell_angle_beta 90.00
_cell_angle_gamma 90.00
loop_
_atom_site_label
_atom_site_type_symbol
_atom_site_fract_x
_atom_site_fract_y
_atom_site_fract_z
_atom_site_occupancy
Hf1 Hf 0.000 0.000 0.000 1
Ru1 Ru 0.500 0.500 0.500 1
Rh1 Rh 0.000 0.000 0.500 1
```

Calculated formation energy in eV per atom: 1.245
DOS(E_F) in states/eV/f.u.: 6.65
Magnetization in μB per atom: 0.701
E above lowest polymorph in meV per atom: 281

# 2
VASP calculation (PBE-GGA) on Hf2RuRh after structural relaxation.

```
data_Hf2RuRh
_chemical_formula_sum 'Hf8 Ru4 Rh4'
_space_group_name_H-M_alt 'I -4 2 d'
_space_group_IT_number 122
_space_group_name_Hall 'I -4 2bw'
_cell_length_a 4.327
_cell_length_b 4.327
_cell_length_c 16.984
_cell_angle_alpha 90.00
_cell_angle_beta 90.00
_cell_angle_gamma 90.00
loop_
_atom_site_label
_atom_site_type_symbol
_atom_site_fract_x
_atom_site_fract_y
_atom_site_fract_z
_atom_site_occupancy
Hf1 Hf 0.248 0.250 0.125 1
Ru1 Ru 0.000 0.000 0.000 1
Rh1 Rh 0.000 0.000 0.500 1
```

Calculated formation energy in eV per atom: 0.172
DOS(E_F) in states/eV/f.u.: 4.29
Magnetization in μB per atom: 0.000
E above lowest polymorph in meV per atom: 1012

# 3
VASP calculation (PBE-GGA) on Hf2RuRh2 after structural relaxation.

```
data_Hf2RuRh2
_chemical_formula_sum 'Hf4 Ru2 Rh4'
_space_group_name_H-M_alt 'I 4/m m m'
_space_group_IT_number 139
_space_group_name_Hall '-I 4 2'
_cell_length_a 3.558
_cell_length_b 3.558
_cell_length_c 14.463
_cell_angle_alpha 90.00
_cell_angle_beta 90.00
_cell_angle_gamma 90.00
loop_
_atom_site_label
_atom_site_type_symbol
_atom_site_fract_x
_atom_site_fract_y
_atom_site_fract_z
_atom_site_occupancy
Hf1 Hf 0.000 0.000 0.106 1
Ru1 Ru 0.000 0.000 0.500 1
Rh1 Rh 0.000 0.500 0.250 1
```

Calculated formation energy in eV per atom: -0.212
DOS(E_F) in states/eV/f.u.: 4.76
Magnetization in μB per atom: 0.001
E above lowest polymorph in meV per atom: 320

# 4
VASP calculation (PBE-GGA) on Hf3RuRh after structural relaxation.

```
data_Hf3RuRh
_chemical_formula_sum 'Hf3 Ru1 Rh1'
_space_group_name_H-M_alt 'P m -3 m'
_space_group_IT_number 221
_space_group_name_Hall '-P 4 2 3'
_cell_length_a 4.885
_cell_length_b 4.885
_cell_length_c 4.885
_cell_angle_alpha 90.00
_cell_angle_beta 90.00
_cell_angle_gamma 90.00
loop_
_atom_site_label
_atom_site_type_symbol
_atom_site_fract_x
_atom_site_fract_y
_atom_site_fract_z
_atom_site_occupancy
Hf1 Hf 0.000 0.000 0.500 1
Ru1 Ru 0.000 0.000 0.000 1
Rh1 Rh 0.500 0.500 0.500 1
```

Calculated formation energy in eV per atom: 0.433
DOS(E_F) in states/eV/f.u.: 6.11
Magnetization in μB per atom: 0.000
E above lowest polymorph in meV per atom: 0

# 5
VASP calculation (PBE-GGA) on HfSbRuRh after structural relaxation.

```
data_HfSbRuRh
_chemical_formula_sum 'Hf4 Sb4 Ru4 Rh4'
_space_group_name_H-M_alt 'F -4 3 m'
_space_group_IT_number 216
_space_group_name_Hall 'F -4 2 3'
_cell_length_a 6.493
_cell_length_b 6.493
_cell_length_c 6.493
_cell_angle_alpha 90.00
_cell_angle_beta 90.00
_cell_angle_gamma 90.00
loop_
_atom_site_label
_atom_site_type_symbol
_atom_site_fract_x
_atom_site_fract_y
_atom_site_fract_z
_atom_site_occupancy
Hf1 Hf 0.000 0.000 0.000 1
Sb1 Sb 0.000 0.000 0.500 1
Ru1 Ru 0.250 0.250 0.750 1
Rh1 Rh 0.250 0.250 0.250 1
```

DOS(E_F) in states/eV/f.u.: 5.50
Magnetization in μB per atom: 0.000
Formation energy without anion corrections in eV per atom: -0.50

# 6
VASP calculation (PBE-GGA) on HfSb2RuRh after structural relaxation.

```
data_HfSb2RuRh
_chemical_formula_sum 'Hf1 Sb2 Ru1 Rh1'
_space_group_name_H-M_alt 'P 4/m m m'
_space_group_IT_number 123
_space_group_name_Hall '-P 4 2'
_cell_length_a 5.025
_cell_length_b 5.025
_cell_length_c 4.686
_cell_angle_alpha 90.00
_cell_angle_beta 90.00
_cell_angle_gamma 90.00
loop_
_atom_site_label
_atom_site_type_symbol
_atom_site_fract_x
_atom_site_fract_y
_atom_site_fract_z
_atom_site_occupancy
Hf1 Hf 0.000 0.000 0.000 1
Sb1 Sb 0.000 0.500 0.500 1
Ru1 Ru 0.500 0.500 0.500 1
Rh1 Rh 0.500 0.500 0.000 1
```

DOS(E_F) in states/eV/f.u.: 5.48
Magnetization in μB per atom: 0.000
Formation energy without anion corrections in eV per atom: 0.72

# 7
VASP calculation (PBE-GGA) on HfScRuRh after structural relaxation.

```
data_HfScRuRh
_chemical_formula_sum 'Hf1 Sc1 Ru1 Rh1'
_space_group_name_H-M_alt 'P 4 m m'
_space_group_IT_number 99
_cell_length_a 3.255
_cell_length_b 3.255
_cell_length_c 6.417
_cell_angle_alpha 90.00
_cell_angle_beta 90.00
_cell_angle_gamma 90.00
loop_
_space_group_symop_operation_xyz
'x,y,z'
'-y,x,z'
'-x,-y,z'
'y,-x,z'
'-x,y,z'
'y,x,z'
'x,-y,z'
'-y,-x,z'
loop_
_atom_site_label
_atom_site_type_symbol
_atom_site_fract_x
_atom_site_fract_y
_atom_site_fract_z
_atom_site_occupancy
Hf1 Hf 0.000 0.000 0.000 1
Sc1 Sc 0.000 0.000 0.505 1
Ru1 Ru 0.500 0.500 0.758 1
Rh1 Rh 0.500 0.500 0.249 1
```

Calculated formation energy in eV per atom: -0.893
DOS(E_F) in states/eV/f.u.: 1.30
Magnetization in μB per atom: 0.000

# 8
VASP calculation (PBE-GGA) on HfSiRuRh after structural relaxation.

```
data_HfSiRuRh
_chemical_formula_sum 'Hf4 Si4 Ru4 Rh4'
_space_group_name_H-M_alt 'F -4 3 m'
_space_group_IT_number 216
_space_group_name_Hall 'F -4 2 3'
_cell_length_a 6.222
_cell_length_b 6.222
_cell_length_c 6.222
_cell_angle_alpha 90.00
_cell_angle_beta 90.00
_cell_angle_gamma 90.00
loop_
_atom_site_label
_atom_site_type_symbol
_atom_site_fract_x
_atom_site_fract_y
_atom_site_fract_z
_atom_site_occupancy
Hf1 Hf 0.000 0.000 0.000 1
Si1 Si 0.000 0.000 0.500 1
Ru1 Ru 0.250 0.250 0.250 1
Rh1 Rh 0.250 0.250 0.750 1
```

DOS(E_F) in states/eV/f.u.: 4.49
Magnetization in μB per atom: 0.048
Formation energy without anion corrections in eV per atom: -0.75